DFT (PBE) results for ZrSb3 after structural relaxation.

Output
- symmetry = P6_3/mmc
- formation energy from raw total energies (eV per atom) = -0.0589
- energy (eV per atom) = -5.29

a b c (Å): 6.534 6.534 5.533
angles (deg): 90.00 90.00 120.00
Sites, in units of the cell vectors:
Zr (0.333, 0.667, 0.750)
Zr (0.667, 0.333, 0.250)
Sb (0.179, 0.357, 0.250)
Sb (0.643, 0.821, 0.250)
Sb (0.179, 0.821, 0.250)
Sb (0.821, 0.643, 0.750)
Sb (0.357, 0.179, 0.750)
Sb (0.821, 0.179, 0.750)